Density functional theory data (PBE) for a relaxed AcHgPb3 crystal.

DFT formation energy = -0.19 eV/atom
Volume = 33.09 Å³ per atom
M_tot = 0.0 μB per formula unit
Raw total energy = -3.302 eV per atom
Symmetry = P-1

a = 7.1921 Å, b = 6.7366 Å, c = 6.8691 Å
α = 90.01°, β = 96.21°, γ = 89.86°
With the nearest neighbours (Å) after each atom.
Element x y z (fractional)
Ac  0.7155  0.2492  0.4630  2 Hg 3.59-3.63, 9 Pb 3.62-3.94
Ac  0.2845  0.7508  0.5370  2 Hg 3.59-3.63, 9 Pb 3.62-3.94
Hg  0.1289  0.7515  0.0217  4 Pb 3.02-3.17
Hg  0.8711  0.2485  0.9783  4 Pb 3.02-3.17
Pb  0.7856  0.7489  0.7242  1 Hg 3.03, 3 Pb 3.07-3.39
Pb  0.5000  0.5000  0.0000  2 Hg 3.17, 6 Pb 3.29-3.39
Pb  0.5000  0.0000  0.0000  2 Hg 3.17, 6 Pb 3.29-3.39
Pb  0.2144  0.2511  0.2758  1 Hg 3.03, 3 Pb 3.07-3.39
Pb  0.1835  0.2512  0.7177  1 Hg 3.02, 3 Pb 3.07-3.29
Pb  0.8165  0.7488  0.2823  1 Hg 3.02, 3 Pb 3.07-3.29